[1]
# Mg2TaOs

An optimized crystal structure of Mg2TaOs (PBE, the Alexandria database).

POSCAR file:
```
Mg2TaOs
1.0
-3.104 -4.458 0.931
-0.411 -5.465 -0.582
1.181 -2.253 3.602
Mg Ta Os
2 1 1
Direct
0.484 0.484 0.516
0.016 0.016 0.984
0.250 0.250 0.250
0.750 0.750 0.750
```

Output
- DFT formation energy: 0.07 eV/atom
- D(E_F): 2.185 states/eV per cell
- Distance to the lowest polymorph of the same formula: 92.5 meV/atom
- Raw total energy: -6.50 eV per atom

[2]
# Mg2TaOs

An optimized crystal structure of Mg2TaOs (PBE, the Alexandria database).

POSCAR file:
```
Mg2TaOs
1.0
-4.185 2.562 2.099
-0.110 -5.483 0.435
0.482 -0.198 2.698
Os Ta Mg
1 1 2
Direct
0.000 0.500 0.500
0.500 0.500 0.000
0.500 0.000 0.500
0.000 0.000 0.000
```

Output
- DFT formation energy: 0.23 eV/atom
- D(E_F): 3.248 states/eV per cell
- Distance to the lowest polymorph of the same formula: 254.3 meV/atom
- Raw total energy: -6.34 eV per atom

Computed total magnetic moment (μB per cell) in order:
0.00 0.00